Entry A
The following is a DFT calculation (PBE-GGA) of an optimized crystal structure of Ca2FeAg.

Results
Fermi-level density of states: 5.5 states/eV per cell

a = 3.880 Å, b = 3.880 Å, c = 8.820 Å
α = 97.11°, β = 97.11°, γ = 49.85°
Element x y z (fractional)
Ca 0.248 0.248 0.235
Ca 0.752 0.752 0.765
Fe 0.500 0.500 0.000
Ag 0.000 0.000 0.500

Entry B
The following is a DFT calculation (PBE-GGA) of an optimized crystal structure of Ca2FeAg.

Results
Fermi-level density of states: 12.1 states/eV per cell

a = 5.158 Å, b = 5.158 Å, c = 5.158 Å
α = 60.00°, β = 60.00°, γ = 60.00°
Element x y z (fractional)
Ca 0.250 0.250 0.250
Ca 0.750 0.750 0.750
Fe 0.000 0.000 0.000
Ag 0.500 0.500 0.500

entry B (147 meV per atom below the next structure)

Entry A
The following is a DFT calculation (PBE-GGA) of an optimized crystal structure of CaGa3Ag2.

Results
Fermi-level density of states: 5.1 states/eV per cell

a = 8.592 Å, b = 8.592 Å, c = 6.762 Å
α = 106.88°, β = 106.88°, γ = 30.46°
Element x y z (fractional)
Ca 0.114 0.114 0.171
Ca 0.886 0.886 0.829
Ga 0.070 0.070 0.657
Ga 0.299 0.299 0.077
Ga 0.368 0.368 0.496
Ga 0.632 0.632 0.504
Ga 0.701 0.701 0.923
Ga 0.930 0.930 0.343
Ag 0.236 0.236 0.655
Ag 0.476 0.476 0.184
Ag 0.524 0.524 0.816
Ag 0.764 0.764 0.345

Entry B
The following is a DFT calculation (PBE-GGA) of an optimized crystal structure of CaGa3Ag2.

Results
Fermi-level density of states: 2.0 states/eV per cell

a = 5.544 Å, b = 5.544 Å, c = 4.461 Å
α = 90.00°, β = 90.00°, γ = 120.00°
Element x y z (fractional)
Ca 0.000 0.000 0.000
Ga 0.000 0.500 0.500
Ga 0.500 0.000 0.500
Ga 0.500 0.500 0.500
Ag 0.333 0.667 0.000
Ag 0.667 0.333 0.000

entry B (28 meV per atom below the next structure)

Entry A
The following is a DFT calculation (PBE-GGA) of an optimized crystal structure of Ca4GaAg3.

Results
Fermi-level density of states: 4.3 states/eV per cell

a = 4.007 Å, b = 4.667 Å, c = 11.500 Å
α = 90.00°, β = 90.00°, γ = 90.00°
Element x y z (fractional)
Ca 0.000 0.000 0.000
Ca 0.000 0.500 0.285
Ca 0.500 0.000 0.497
Ca 0.500 0.500 0.787
Ga 0.500 0.000 0.216
Ag 0.000 0.000 0.718
Ag 0.000 0.500 0.568
Ag 0.500 0.500 0.073

Entry B
The following is a DFT calculation (PBE-GGA) of an optimized crystal structure of Ca4GaAg3.

Results
Fermi-level density of states: 6.5 states/eV per cell

a = 3.700 Å, b = 3.700 Å, c = 14.876 Å
α = 90.00°, β = 90.00°, γ = 90.00°
Element x y z (fractional)
Ca 0.000 0.000 0.122
Ca 0.000 0.000 0.375
Ca 0.000 0.000 0.625
Ca 0.000 0.000 0.878
Ga 0.500 0.500 0.000
Ag 0.500 0.500 0.248
Ag 0.500 0.500 0.500
Ag 0.500 0.500 0.752

entry A (7 meV per atom below the next structure)

Entry A
The following is a DFT calculation (PBE-GGA) of an optimized crystal structure of CaGa6Ag2.

Results
Fermi-level density of states: 3.4 states/eV per cell

a = 7.370 Å, b = 7.370 Å, c = 7.370 Å
α = 146.90°, β = 120.65°, γ = 69.67°
Element x y z (fractional)
Ca 0.000 0.000 0.000
Ga 0.006 0.694 0.312
Ga 0.325 0.500 0.825
Ga 0.381 0.694 0.688
Ga 0.619 0.306 0.312
Ga 0.675 0.500 0.175
Ga 0.994 0.306 0.688
Ag 0.384 0.884 0.500
Ag 0.616 0.116 0.500

Entry B
The following is a DFT calculation (PBE-GGA) of an optimized crystal structure of CaGa6Ag2.

Results
Fermi-level density of states: 2.6 states/eV per cell

a = 7.947 Å, b = 7.947 Å, c = 3.234 Å
α = 90.00°, β = 90.00°, γ = 120.00°
Element x y z (fractional)
Ca 0.000 0.000 0.000
Ga 0.000 0.342 0.500
Ga 0.000 0.658 0.500
Ga 0.342 0.000 0.500
Ga 0.342 0.342 0.500
Ga 0.658 0.000 0.500
Ga 0.658 0.658 0.500
Ag 0.333 0.667 0.000
Ag 0.667 0.333 0.000

entry A (45 meV per atom below the next structure)

Entry A
The following is a DFT calculation (PBE-GGA) of an optimized crystal structure of CaGa2Ag4.

Results
Fermi-level density of states: 2.0 states/eV per cell

a = 7.970 Å, b = 7.970 Å, c = 7.970 Å
α = 33.72°, β = 33.72°, γ = 33.72°
Element x y z (fractional)
Ca 0.000 0.000 0.000
Ga 0.259 0.259 0.259
Ga 0.741 0.741 0.741
Ag 0.139 0.139 0.139
Ag 0.424 0.424 0.424
Ag 0.576 0.576 0.576
Ag 0.861 0.861 0.861

Entry B
The following is a DFT calculation (PBE-GGA) of an optimized crystal structure of CaGa2Ag4.

Results
Fermi-level density of states: 5.7 states/eV per cell

a = 8.071 Å, b = 8.071 Å, c = 4.284 Å
α = 90.00°, β = 90.00°, γ = 90.00°
Element x y z (fractional)
Ca 0.000 0.000 0.000
Ca 0.500 0.500 0.500
Ga 0.213 0.213 0.500
Ga 0.287 0.713 0.000
Ga 0.713 0.287 0.000
Ga 0.787 0.787 0.500
Ag 0.090 0.659 0.500
Ag 0.159 0.410 0.000
Ag 0.341 0.910 0.500
Ag 0.410 0.159 0.000
Ag 0.590 0.841 0.000
Ag 0.659 0.090 0.500
Ag 0.841 0.590 0.000
Ag 0.910 0.341 0.500

entry B (47 meV per atom below the next structure)

Entry A
The following is a DFT calculation (PBE-GGA) of an optimized crystal structure of Ca4GaAg.

Results
Fermi-level density of states: 9.1 states/eV per cell

a = 8.577 Å, b = 8.577 Å, c = 6.752 Å
α = 108.00°, β = 108.00°, γ = 111.96°
Element x y z (fractional)
Ca 0.054 0.685 0.902
Ca 0.250 0.368 0.740
Ca 0.315 0.946 0.598
Ca 0.368 0.250 0.240
Ca 0.632 0.750 0.760
Ca 0.685 0.054 0.402
Ca 0.750 0.632 0.260
Ca 0.946 0.315 0.098
Ga 0.365 0.635 0.250
Ga 0.635 0.365 0.750
Ag 0.003 0.997 0.750
Ag 0.997 0.003 0.250

Entry B
The following is a DFT calculation (PBE-GGA) of an optimized crystal structure of Ca4GaAg.

Results
Fermi-level density of states: 4.6 states/eV per cell

a = 3.774 Å, b = 3.774 Å, c = 12.840 Å
α = 90.00°, β = 90.00°, γ = 90.00°
Element x y z (fractional)
Ca 0.000 0.000 0.134
Ca 0.000 0.000 0.866
Ca 0.500 0.500 0.361
Ca 0.500 0.500 0.639
Ga 0.500 0.500 0.000
Ag 0.000 0.000 0.500

entry B (6 meV per atom below the next structure)

Entry A
The following is a DFT calculation (PBE-GGA) of an optimized crystal structure of Ca2GaAgH.

Results
Fermi-level density of states: 1.6 states/eV per cell

a = 5.083 Å, b = 5.083 Å, c = 3.895 Å
α = 90.00°, β = 90.00°, γ = 90.00°
Element x y z (fractional)
Ca 0.000 0.500 0.000
Ca 0.500 0.000 0.000
Ga 0.000 0.000 0.500
Ag 0.500 0.500 0.500
H 0.000 0.000 0.000

Entry B
The following is a DFT calculation (PBE-GGA) of an optimized crystal structure of Ca2GaAgH.

Results
Fermi-level density of states: 0.9 states/eV per cell

a = 5.100 Å, b = 5.100 Å, c = 3.895 Å
α = 90.00°, β = 90.00°, γ = 90.00°
Element x y z (fractional)
Ca 0.000 0.500 0.000
Ca 0.500 0.000 0.000
Ga 0.000 0.000 0.500
Ag 0.500 0.500 0.500
H 0.500 0.500 0.000

entry B (53 meV per atom below the next structure)

Entry A
The following is a DFT calculation (PBE-GGA) of an optimized crystal structure of CaHoGaAg.

Results
Fermi-level density of states: 3.2 states/eV per cell

a = 5.132 Å, b = 5.132 Å, c = 5.132 Å
α = 60.00°, β = 60.00°, γ = 60.00°
Element x y z (fractional)
Ca 0.000 0.000 0.000
Ho 0.500 0.500 0.500
Ga 0.250 0.250 0.250
Ag 0.750 0.750 0.750

Entry B
The following is a DFT calculation (PBE-GGA) of an optimized crystal structure of CaHoGaAg.

Results
Fermi-level density of states: 2.5 states/eV per cell

a = 3.636 Å, b = 3.636 Å, c = 7.311 Å
α = 90.00°, β = 90.00°, γ = 90.00°
Element x y z (fractional)
Ca 0.000 0.000 0.000
Ho 0.000 0.000 0.508
Ga 0.500 0.500 0.736
Ag 0.500 0.500 0.272

entry B (10 meV per atom below the next structure)

Entry A
The following is a DFT calculation (PBE-GGA) of an optimized crystal structure of CaTmGaAg.

Results
Fermi-level density of states: 2.2 states/eV per cell

a = 3.617 Å, b = 3.617 Å, c = 7.285 Å
α = 90.00°, β = 90.00°, γ = 90.00°
Element x y z (fractional)
Ca 0.000 0.000 0.000
Tm 0.000 0.000 0.506
Ga 0.500 0.500 0.733
Ag 0.500 0.500 0.276

Entry B
The following is a DFT calculation (PBE-GGA) of an optimized crystal structure of CaTmGaAg.

Results
Fermi-level density of states: 3.5 states/eV per cell

a = 5.108 Å, b = 5.108 Å, c = 5.108 Å
α = 60.00°, β = 60.00°, γ = 60.00°
Element x y z (fractional)
Ca 0.000 0.000 0.000
Tm 0.500 0.500 0.500
Ga 0.750 0.750 0.750
Ag 0.250 0.250 0.250

entry A (21 meV per atom below the next structure)

Entry A
The following is a DFT calculation (PBE-GGA) of an optimized crystal structure of CaZrGaAg2.

Results
Fermi-level density of states: 4.5 states/eV per cell

a = 5.077 Å, b = 5.077 Å, c = 5.497 Å
α = 90.00°, β = 90.00°, γ = 90.00°
Element x y z (fractional)
Ca 0.000 0.000 0.000
Zr 0.000 0.000 0.500
Ga 0.500 0.500 0.500
Ag 0.000 0.500 0.000
Ag 0.500 0.000 0.000

Entry B
The following is a DFT calculation (PBE-GGA) of an optimized crystal structure of CaZrGaAg2.

Results
Fermi-level density of states: 4.5 states/eV per cell

a = 4.847 Å, b = 4.847 Å, c = 5.354 Å
α = 90.00°, β = 90.00°, γ = 90.00°
Element x y z (fractional)
Ca 0.000 0.000 0.000
Zr 0.500 0.500 0.000
Ga 0.000 0.000 0.500
Ag 0.000 0.500 0.500
Ag 0.500 0.000 0.500

entry B (678 meV per atom below the next structure)

Entry A
The following is a DFT calculation (PBE-GGA) of an optimized crystal structure of Ca2GdAg.

Results
Fermi-level density of states: 7.5 states/eV per cell

a = 3.663 Å, b = 3.663 Å, c = 9.344 Å
α = 90.00°, β = 90.00°, γ = 90.00°
Element x y z (fractional)
Ca 0.000 0.000 0.202
Ca 0.000 0.000 0.798
Gd 0.500 0.500 0.500
Ag 0.500 0.500 0.000

Entry B
The following is a DFT calculation (PBE-GGA) of an optimized crystal structure of Ca2GdAg.

Results
Fermi-level density of states: 7.1 states/eV per cell

a = 11.661 Å, b = 11.661 Å, c = 11.661 Å
α = 18.11°, β = 18.11°, γ = 18.11°
Element x y z (fractional)
Ca 0.101 0.101 0.101
Ca 0.899 0.899 0.899
Gd 0.000 0.000 0.000
Ag 0.500 0.500 0.500

entry A (233 meV per atom below the next structure)

Entry A
The following is a DFT calculation (PBE-GGA) of an optimized crystal structure of CaGd2Ag.

Results
Fermi-level density of states: 7.9 states/eV per cell

a = 10.973 Å, b = 10.973 Å, c = 10.973 Å
α = 19.39°, β = 19.39°, γ = 19.39°
Element x y z (fractional)
Ca 0.000 0.000 0.000
Gd 0.236 0.236 0.236
Gd 0.764 0.764 0.764
Ag 0.500 0.500 0.500

Entry B
The following is a DFT calculation (PBE-GGA) of an optimized crystal structure of CaGd2Ag.

Results
Fermi-level density of states: 6.1 states/eV per cell

a = 4.709 Å, b = 4.709 Å, c = 5.226 Å
α = 90.00°, β = 90.00°, γ = 90.00°
Element x y z (fractional)
Ca 0.000 0.000 0.000
Gd 0.000 0.500 0.500
Gd 0.500 0.000 0.500
Ag 0.500 0.500 0.000

entry B (14 meV per atom below the next structure)